AgHgI2: relaxed, PBE.

Output
The polymorph energy (0 for the lowest one) is 29.7 meV per atom. For the density of states at the Fermi level, the calculation gives 0.00 states/eV/f.u. Its raw formation energy is -206 meV/atom.

```
AgHgI2
1.0
6.894 0.000 0.000
1.549 6.812 0.000
1.809 1.502 7.104
Ag Hg I
2 2 4
Direct
0.000 0.000 0.000
0.028 0.072 0.582
0.332 0.762 0.380
0.500 0.956 0.560
0.212 0.608 0.128
0.223 0.294 0.730
0.766 0.804 0.826
0.799 0.209 0.293
```



LaP2Se: relaxed, PBE.

Output
For the density of states at the Fermi level, the calculation gives 2.32 states/eV/f.u. Its raw formation energy is -505 meV/atom.

```
LaP2Se
1.0
-2.070 2.070 4.949
2.070 -2.070 4.949
2.070 2.070 -4.949
La P Se
1 2 1
Direct
0.000 0.000 0.000
0.250 0.750 0.500
0.500 0.500 0.000
0.750 0.250 0.500
```



EuGeIr: relaxed, PBE.

Output
For the density of states at the Fermi level, the calculation gives 5.51 states/eV/f.u. The value obtained for the formation energy is -14.3 kcal/mol of atoms.

```
EuGeIr
1.0
4.249 0.000 0.000
-2.124 3.680 0.000
0.000 0.000 4.284
Eu Ge Ir
1 1 1
Direct
0.000 0.000 0.000
0.667 0.333 0.500
0.333 0.667 0.500
```



DySn2Ir2: relaxed, PBE.

Output
For the density of states at the Fermi level, the calculation gives 2.45 states/eV/f.u. The value obtained for the formation energy is -11.3 kcal/mol of atoms.

```
DySn2Ir2
1.0
4.647 0.000 0.000
0.000 4.464 0.000
-1.719 0.000 10.588
Dy Sn Ir
2 4 4
Direct
0.158 0.250 0.266
0.842 0.750 0.734
0.249 0.750 0.497
0.346 0.250 0.879
0.654 0.750 0.121
0.751 0.250 0.503
0.125 0.750 0.989
0.300 0.250 0.636
0.700 0.750 0.364
0.875 0.250 0.011
```